1.
Here is a relaxed structure of Ho2LuIn from Alexandria via LeMat-Bulk. Energies are from PBE-GGA.

E above lowest polymorph in meV/atom: 33.8
Uncorrected energy in eV/cell: -17.3
E_form in eV/atom: -0.225

Cell: 3.532 3.532 9.182 Å, 90.00 90.00 90.00°
Fractional positions:
Ho: 0.000 0.000 0.768
Ho: 0.000 0.000 0.232
In: 0.500 0.500 0.000
Lu: 0.500 0.500 0.500

=====

2.
Here is a relaxed structure of CrSnSCl2 from Alexandria via LeMat-Bulk. Energies are from PBE-GGA.

E above lowest polymorph in meV/atom: 0.0
Uncorrected energy in eV/cell: -23.9
E_form (uncorrected) in eV per atom: -0.50

Cell: 4.753 4.753 4.945 Å, 90.00 90.00 90.00°
Site moments in Bohr magnetons follow the coordinates.
Fractional positions:
Cr: 0.000 0.000 0.000  3.47
S: 0.000 0.000 0.500  -0.05
Cl: 0.000 0.500 0.000  0.00
Cl: 0.500 0.000 0.000  0.00
Sn: 0.500 0.500 0.500  0.08

=====

3.
Here is a relaxed structure of B5C7 from Alexandria via LeMat-Bulk. Energies are from PBE-GGA.

E above lowest polymorph in meV/atom: 144.3
Uncorrected energy in eV/cell: -93.1
E_form in eV/atom: 0.402

Cell: 4.660 4.602 4.495 Å, 102.41 95.48 120.37°
Fractional positions:
C: 0.188 0.553 0.659
C: 0.370 0.358 0.130
C: 0.997 0.018 0.985
C: 0.725 0.058 0.119
C: 0.552 0.216 0.644
C: 0.882 0.877 0.627
C: 0.641 0.308 0.996
B: 0.507 0.496 0.508
B: 0.180 0.831 0.509
B: 0.371 0.670 0.017
B: 0.002 0.691 0.062
B: 0.834 0.173 0.493

=====

4.
Here is a relaxed structure of KZn2SnPd from Alexandria via LeMat-Bulk. Energies are from PBE-GGA.

Uncorrected energy in eV/cell: -13.5
E_form in eV/atom: -0.125

Cell: 5.019 5.019 5.162 Å, 90.00 90.00 90.00°
Fractional positions:
Zn: 0.500 0.000 0.000
Zn: 0.000 0.500 0.000
Sn: 0.000 0.000 0.500
Pd: 0.000 0.000 0.000
K: 0.500 0.500 0.500

=====

5.
Here is a relaxed structure of La2RhCl from Alexandria via LeMat-Bulk. Energies are from PBE-GGA.

E above lowest polymorph in meV/atom: 374.0
Uncorrected energy in eV/cell: -22.7
E_form (uncorrected) in eV per atom: -0.91

Cell: 5.143 5.143 5.143 Å, 60.00 60.00 60.00°
Fractional positions:
Rh: 0.500 0.500 0.500
Cl: 0.000 0.000 0.000
La: 0.250 0.250 0.250
La: 0.750 0.750 0.750

=====

6.
Here is a relaxed structure of Tb2CeSmTl4 from Alexandria via LeMat-Bulk. Energies are from PBE-GGA.

Uncorrected energy in eV/cell: -32.0
E_form in eV/atom: -0.323

Cell: 5.436 5.436 9.445 Å, 73.28 73.28 60.00°
Site moments in Bohr magnetons follow the coordinates.
Fractional positions:
Sm: 0.000 0.000 0.000  0.00
Tb: 0.250 0.250 0.249  0.02
Tb: 0.750 0.750 0.751  0.02
Tl: 0.375 0.375 0.876  0.00
Tl: 0.876 0.876 0.373  0.01
Tl: 0.124 0.124 0.627  0.01
Tl: 0.625 0.625 0.124  0.00
Ce: 0.500 0.500 0.500  0.84